VASP calculation (PBE) on crystalline KMg2N at its relaxed geometry.

Properties
Space group: I4_1/amd (141)
Calculated density: 1.58 g cm⁻³
Crystal system: tetragonal
Uncorrected energy: -3.2513 eV per atom

a = 6.713 Å, b = 6.713 Å, c = 6.713 Å
α = 120.05°, β = 120.05°, γ = 89.91°
Sites, in units of the cell vectors:
K (0.375, 0.625, 0.750)
K (0.625, 0.375, 0.250)
Mg (0.000, 0.000, 0.000)
Mg (0.000, 0.000, 0.500)
Mg (0.000, 0.500, 0.000)
Mg (0.500, 0.000, 0.500)
N (0.125, 0.875, 0.250)
N (0.875, 0.125, 0.750)